The following is a GGA-PBEsol calculation of crystalline LaYAs2 at its relaxed geometry, from Alexandria.

a b c (Å): 4.203 4.203 5.928
angles (deg): 90.00 90.00 90.00
Space group P4/mmm (No. 123)
Symmetry-distinct sites (fractional):
La 0.000 0.000 0.000 x1
Y 0.500 0.500 0.500 x1
As 0.000 0.000 0.500 x1
As 0.500 0.500 0.000 x1

Summary:
Calculated formation energy (meV/atom): -1522


The following is a GGA-PBEsol calculation of crystalline EuPd3S4 at its relaxed geometry, from Alexandria.

a b c (Å): 6.621 6.621 6.621
angles (deg): 90.00 90.00 90.00
Space group Pm-3n (No. 223)
Symmetry-distinct sites (fractional):
Eu 0.000 0.000 0.000 x2
Pd 0.000 0.250 0.500 x6
S 0.250 0.250 0.250 x8

Summary:
E_form (uncorrected) (kJ/mol of atoms): -89.0


The following is a GGA-PBEsol calculation of crystalline Zn7Co at its relaxed geometry, from Alexandria.

a b c (Å): 7.469 7.469 7.469
angles (deg): 90.00 90.00 90.00
Space group Fm-3m (No. 225)
Symmetry-distinct sites (fractional):
Zn 0.000 0.000 0.000 x4
Zn 0.000 0.250 0.250 x24
Co 0.000 0.000 0.500 x4

Summary:
Calculated formation energy (meV/atom): -21


The following is a GGA-PBEsol calculation of crystalline Li4Nb3Cr5O16 at its relaxed geometry, from Alexandria.

a b c (Å): 10.160 5.860 9.620
angles (deg): 90.00 90.26 90.00
Space group Cm (No. 8)
Symmetry-distinct sites (fractional):
Li 0.000 0.000 0.000 x2
Li 0.002 0.000 0.498 x2
Li 0.181 0.500 0.389 x2
Li 0.350 0.000 0.905 x2
Nb 0.102 0.268 0.715 x4
Nb 0.184 0.000 0.215 x2
Cr 0.184 0.500 0.994 x2
Cr 0.345 0.500 0.718 x2
Cr 0.349 0.000 0.484 x2
Cr 0.428 0.245 0.218 x4
O 0.009 0.000 0.818 x2
O 0.010 0.000 0.316 x2
O 0.032 0.500 0.862 x2
O 0.098 0.250 0.105 x4
O 0.185 0.000 0.600 x2
O 0.197 0.500 0.589 x2
O 0.258 0.282 0.848 x4
O 0.276 0.221 0.347 x4
O 0.349 0.500 0.108 x2
O 0.350 0.000 0.105 x2
O 0.432 0.249 0.605 x4
O 0.493 0.000 0.341 x2

Summary:
E_form (uncorrected) (kJ/mol of atoms): -205.7


The following is a GGA-PBEsol calculation of crystalline Y2AlCu at its relaxed geometry, from Alexandria.

a b c (Å): 4.3597 4.3597 16.5938
angles (deg): 90.00 90.00 120.00
Space group R3m (No. 160, hexagonal axes)
Symmetry-distinct sites (fractional):
Y 0.0000 0.0000 0.0000 x3
Y 0.0000 0.0000 0.1948 x3
Al 0.0000 0.0000 0.7716 x3
Cu 0.0000 0.0000 0.4210 x3

Summary:
Calculated formation energy (meV/atom): -197


The following is a GGA-PBEsol calculation of crystalline Zr2ZnTc at its relaxed geometry, from Alexandria.

a b c (Å): 3.307 3.307 6.412
angles (deg): 90.00 90.00 90.00
Space group P4/mmm (No. 123)
Symmetry-distinct sites (fractional):
Zr 0.000 0.000 0.242 x2
Zn 0.500 0.500 0.500 x1
Tc 0.500 0.500 0.000 x1

Summary:
Calculated formation energy (meV/atom): -371


The following is a GGA-PBEsol calculation of crystalline RuAu3S at its relaxed geometry, from Alexandria.

a b c (Å): 4.533 4.533 4.533
angles (deg): 90.00 90.00 90.00
Space group Pm-3m (No. 221)
Symmetry-distinct sites (fractional):
Ru 0.000 0.000 0.000 x1
Au 0.000 0.500 0.500 x3
S 0.500 0.500 0.500 x1

Summary:
E_form (uncorrected) (kJ/mol of atoms): 106.2


The following is a GGA-PBEsol calculation of crystalline KCo2Cu at its relaxed geometry, from Alexandria.

a b c (Å): 2.876 2.876 7.706
angles (deg): 90.00 90.00 90.00
Space group P4mm (No. 99)
Symmetry-distinct sites (fractional):
K 0.000 0.000 0.000 x1
Co 0.000 0.000 0.477 x1
Co 0.500 0.500 0.334 x1
Cu 0.500 0.500 0.662 x1

Summary:
Calculated formation energy (meV/atom): 609


| no. | total magnetic moment (μB/f.u.) | E_tot (eV per formula unit) | theoretical density (g cm⁻³) |
| --- | --- | --- | --- |
| 1 | 0.00 | -28.47 | 5.99 |
| 2 | 6.61 | -53.35 | 6.86 |
| 3 | 0.06 | -18.98 | 8.24 |
| 4 | 14.68 | -235.22 | 4.77 |
| 5 | 0.00 | -22.86 | 4.89 |
| 6 | 0.00 | -32.51 | 8.19 |
| 7 | 1.15 | -20.82 | 12.91 |
| 8 | 2.96 | -18.50 | 5.74 |